# 1
A geometry-optimized Sr6As2Se3Cl structure. Source: Alexandria, functional GGA-PBE.

Cell: 4.3394 9.1644 10.0437 Å, 103.45 102.48 90.00°
Fractional positions:
Se 0.8387 0.1640 0.6773
Sr 0.0025 0.2630 0.0051
Sr 0.3311 0.4150 0.6622
As 0.8359 0.6729 0.6719
As 0.1641 0.3271 0.3281
Se 0.1613 0.8360 0.3227
Se 0.5000 0.5000 0.0000
Sr 0.6722 0.0854 0.3444
Sr 0.9975 0.7370 0.9949
Sr 0.6689 0.5850 0.3378
Cl 0.5000 0.0000 0.0000
Sr 0.3278 0.9146 0.6556

## Properties
* total magnetic moment: 0.0 μB per cell
* raw total energy: -52.3 eV/cell
* formation energy (no corrections): -1719 meV per atom

# 2
A geometry-optimized SrAs2SeCl structure. Source: Alexandria, functional GGA-PBE.

Cell: 4.9593 4.9593 5.3893 Å, 90.00 90.00 90.00°
Fractional positions:
Cl 0.0000 0.0000 0.0000
Se 0.0000 0.0000 0.5000
Sr 0.5000 0.5000 0.5000
As 0.0000 0.5000 0.0000
As 0.5000 0.0000 0.0000

## Properties
* total magnetic moment: 0.2 μB per cell
* raw total energy: -16.0 eV/cell
* formation energy (no corrections): 64 meV per atom

# 3
A geometry-optimized SrAsSe2Cl structure. Source: Alexandria, functional GGA-PBE.

Cell: 5.3507 5.3507 4.7445 Å, 90.00 90.00 90.00°
Fractional positions:
Se 0.0000 0.5000 0.0000
Sr 0.5000 0.5000 0.5000
Se 0.5000 0.0000 0.0000
Cl 0.0000 0.0000 0.0000
As 0.0000 0.0000 0.5000

## Properties
* total magnetic moment: 0.0 μB per cell
* raw total energy: -15.5 eV/cell
* formation energy (no corrections): -77 meV per atom

# 4
A geometry-optimized SrAs2SeCl structure. Source: Alexandria, functional GGA-PBE.

Cell: 6.0595 6.0595 5.7058 Å, 90.00 90.00 90.00°
Fractional positions:
Cl 0.5000 0.5000 0.5000
Se 0.0000 0.0000 0.5000
Sr 0.0000 0.0000 0.0000
As 0.0000 0.5000 0.0000
As 0.5000 0.0000 0.0000

## Properties
* total magnetic moment: 2.4 μB per cell
* raw total energy: -12.7 eV/cell
* formation energy (no corrections): 728 meV per atom

# 5
A geometry-optimized TaAs2SeCl structure. Source: Alexandria, functional GGA-PBE.

Cell: 5.0545 5.0545 4.9112 Å, 90.00 90.00 90.00°
Fractional positions:
Cl 0.5000 0.5000 0.5000
As 0.0000 0.5000 0.0000
As 0.5000 0.0000 0.0000
Ta 0.0000 0.0000 0.0000
Se 0.0000 0.0000 0.5000

## Properties
* total magnetic moment: 0.0 μB per cell
* raw total energy: -26.0 eV/cell
* formation energy (no corrections): 103 meV per atom

# 6
A geometry-optimized TaAs2SeCl structure. Source: Alexandria, functional GGA-PBE.

Cell: 4.6779 4.6779 4.9021 Å, 90.00 90.00 90.00°
Fractional positions:
As 0.5000 0.0000 0.0000
Cl 0.0000 0.0000 0.0000
Se 0.0000 0.0000 0.5000
Ta 0.5000 0.5000 0.5000
As 0.0000 0.5000 0.0000

## Properties
* total magnetic moment: 0.9 μB per cell
* raw total energy: -20.1 eV/cell
* formation energy (no corrections): 1278 meV per atom

# 7
A geometry-optimized TcAs2SeCl structure. Source: Alexandria, functional GGA-PBE.

Cell: 4.7733 4.7733 5.0451 Å, 90.00 90.00 90.00°
Fractional positions:
As 0.0000 0.5000 0.0000
Tc 0.5000 0.5000 0.5000
Se 0.0000 0.0000 0.5000
As 0.5000 0.0000 0.0000
Cl 0.0000 0.0000 0.0000

## Properties
* total magnetic moment: 2.9 μB per cell
* raw total energy: -17.8 eV/cell
* formation energy (no corrections): 1434 meV per atom

# 8
A geometry-optimized TcAs2SeCl structure. Source: Alexandria, functional GGA-PBE.

Cell: 4.8827 4.8827 4.7875 Å, 90.00 90.00 90.00°
Fractional positions:
Cl 0.5000 0.5000 0.5000
Se 0.0000 0.0000 0.5000
As 0.5000 0.0000 0.0000
As 0.0000 0.5000 0.0000
Tc 0.0000 0.0000 0.0000

## Properties
* total magnetic moment: 0.0 μB per cell
* raw total energy: -23.5 eV/cell
* formation energy (no corrections): 306 meV per atom